(1)
# PBE Re2AgBI, optimized geometry
# * formation energy without anion corrections: 7.1 eV per formula unit
# * energy: -5.783 eV per atom
data_Re2AgBI
_chemical_formula_sum 'Re2 Ag1 B1 I1'
_cell_length_a 4.189
_cell_length_b 4.189
_cell_length_c 4.999
_cell_angle_alpha 90.00
_cell_angle_beta 90.00
_cell_angle_gamma 90.00
_space_group_name_H-M_alt 'P 4/m m m'
_space_group_IT_number 123
_space_group_name_Hall '-P 4 2'
loop_
_atom_site_label
_atom_site_type_symbol
_atom_site_fract_x
_atom_site_fract_y
_atom_site_fract_z
_atom_site_occupancy
Re1 Re 0.000 0.500 0.000 1
Ag1 Ag 0.000 0.000 0.500 1
B1 B 0.500 0.500 0.000 1
I1 I 0.500 0.500 0.500 1

---

(2)
# PBE PaGaOsPd, optimized geometry
# * ΔE_f: -0.324 eV per atom
# * energy: -7.561 eV per atom
data_PaGaOsPd
_chemical_formula_sum 'Pa4 Ga4 Os4 Pd4'
_cell_length_a 6.650
_cell_length_b 6.650
_cell_length_c 6.650
_cell_angle_alpha 90.00
_cell_angle_beta 90.00
_cell_angle_gamma 90.00
_space_group_name_H-M_alt 'F -4 3 m'
_space_group_IT_number 216
_space_group_name_Hall 'F -4 2 3'
loop_
_atom_site_label
_atom_site_type_symbol
_atom_site_fract_x
_atom_site_fract_y
_atom_site_fract_z
_atom_site_occupancy
Pa1 Pa 0.000 0.000 0.000 1
Ga1 Ga 0.000 0.000 0.500 1
Os1 Os 0.250 0.250 0.750 1
Pd1 Pd 0.250 0.250 0.250 1